Computed, not measured: a relaxed K4La3PrSe8 crystal at the PBE level of DFT.

a b c (Å): 8.8588 8.8588 23.0603
angles (deg): 90.00 90.00 120.00
Last column: nearest neighbours and their distance in Å.
Space group R-3m (No. 166, hexagonal axes)
Asymmetric unit:
K: 0.0000 0.0000 0.0000 (multiplicity 3)  6 Se 3.39
K: 0.0000 0.5000 0.0000 (multiplicity 9)  6 Se 3.38
La: 0.0000 0.5000 0.5000 (multiplicity 9)  6 Se 3.03-3.04
Pr: 0.0000 0.0000 0.5000 (multiplicity 3)  6 Se 3.02
Se: 0.0000 0.0000 0.2372 (multiplicity 6)  3 La 3.03, 3 K 3.38
Se: 0.0018 0.5009 0.2372 (multiplicity 18)  1 Pr 3.02, 2 La 3.04, 2 K 3.38

Results
The magnetic moment is 0.000 μB per atom. The calculation puts the uncorrected formation energy at -29.0 eV per formula unit. As for the final energy: -80.82 eV/f.u.

Computed, not measured: a relaxed Ag2ICl crystal at the PBE level of DFT.

a b c (Å): 4.1168 4.1168 21.2570
angles (deg): 90.00 90.00 120.00
Last column: nearest neighbours and their distance in Å.
Space group R3m (No. 160, hexagonal axes)
Asymmetric unit:
Ag: 0.0000 0.0000 0.0000 (multiplicity 3)  3 Cl 2.84, 3 I 3.03
Ag: 0.0000 0.0000 0.1780 (multiplicity 3)  3 Cl 2.95, 3 I 3.05
I: 0.0000 0.0000 0.4216 (multiplicity 3)  6 Ag 3.03-3.05
Cl: 0.0000 0.0000 0.5940 (multiplicity 3)  6 Ag 2.84-2.95

Results
The magnetic moment is 0.000 μB per atom. The calculation puts the uncorrected formation energy at -0.9 eV per formula unit. As for the final energy: -10.03 eV/f.u.

Computed, not measured: a relaxed CsP2S2 crystal at the PBE level of DFT.

a b c (Å): 7.2411 7.2411 6.7945
angles (deg): 90.00 90.00 90.00
Last column: nearest neighbours and their distance in Å.
Space group P4/mmm (No. 123)
Asymmetric unit:
Cs: 0.0000 0.0000 0.0000 (multiplicity 1)  2 S 3.40, 4 P 3.62
P: 0.0000 0.5000 0.0000 (multiplicity 2)  2 Cs 3.62
S: 0.0000 0.0000 0.5000 (multiplicity 1)  2 Cs 3.40
S: 0.5000 0.5000 0.5000 (multiplicity 1)  8 P 4.96, 4 S 5.12

Results
The magnetic moment is 1.800 μB per atom. The calculation puts the uncorrected formation energy at 9.9 eV per formula unit. As for the final energy: -10.07 eV/f.u.

Computed, not measured: a relaxed LiLaNp2Te4 crystal at the PBE level of DFT.

a b c (Å): 7.7179 4.4363 7.7434
angles (deg): 90.00 109.59 90.00
Last column: nearest neighbours and their distance in Å.
Space group P2/m (No. 10)
Asymmetric unit:
Li: 0.0000 0.0000 0.0000 (multiplicity 1)  6 Te 3.11
La: 0.5000 0.5000 0.0000 (multiplicity 1)  6 Te 3.19-3.20
Np: 0.0000 0.5000 0.5000 (multiplicity 1)  6 Te 3.10-3.12
Np: 0.5000 0.0000 0.5000 (multiplicity 1)  6 Te 3.18-3.21
Te: 0.2381 0.0000 0.7461 (multiplicity 2)  3 Np 3.10-3.21, 1 Li 3.11, 2 La 3.19
Te: 0.2417 0.5000 0.2475 (multiplicity 2)  2 Li 3.11, 3 Np 3.12-3.18, 1 La 3.20

Results
The magnetic moment is 0.002 μB per atom. The calculation puts the uncorrected formation energy at -7.3 eV per formula unit. As for the final energy: -52.56 eV/f.u.

Computed, not measured: a relaxed FeCu2TcPd crystal at the PBE level of DFT.

a b c (Å): 4.6143 4.6143 4.2795
angles (deg): 90.00 90.00 90.00
Last column: nearest neighbours and their distance in Å.
Space group P4/mmm (No. 123)
Asymmetric unit:
Fe: 0.0000 0.0000 0.0000 (multiplicity 1)  2 Tc 2.14
Cu: 0.0000 0.5000 0.5000 (multiplicity 2)  2 Tc 2.31
Tc: 0.0000 0.0000 0.5000 (multiplicity 1)  2 Fe 2.14, 4 Cu 2.31
Pd: 0.5000 0.5000 0.0000 (multiplicity 1)  8 Cu 3.15, 4 Fe 3.26

Results
The value obtained for the energy of formation from the pure elements is 1362 meV/atom. The magnetic moment is 0.390 μB per atom. As for the final energy: -25.40 eV/f.u.

Computed, not measured: a relaxed MnNi2Cl crystal at the PBE level of DFT.

a b c (Å): 6.0181 6.0181 6.0181
angles (deg): 90.00 90.00 90.00
Last column: nearest neighbours and their distance in Å.
Space group F-43m (No. 216)
Asymmetric unit:
Mn: 0.0000 0.0000 0.0000 (multiplicity 4)  4 Cl 2.61, 4 Ni 2.61
Ni: 0.0000 0.0000 0.5000 (multiplicity 4)  4 Cl 2.61, 4 Ni 2.61
Ni: 0.2500 0.2500 0.7500 (multiplicity 4)  4 Mn 2.61, 4 Ni 2.61
Cl: 0.2500 0.2500 0.2500 (multiplicity 4)  4 Mn 2.61, 4 Ni 2.61

Results
The magnetic moment is 1.278 μB per atom. The calculation puts the uncorrected formation energy at 2.1 eV per formula unit. As for the final energy: -20.50 eV/f.u.